Al2FePdF | PBE+U | relaxed

## Properties
electronic total energy: -21.40 eV/cell
total moment: 2.8 μB/cell

```
Al2FePdF
1.0
4.2021 0.0000 0.0000
0.0000 4.2021 0.0000
0.0000 0.0000 4.1473
Al Fe Pd F
2 1 1 1
Direct
0.0000 0.5000 0.0000
0.5000 0.0000 0.0000
0.0000 0.0000 0.5000
0.5000 0.5000 0.5000
0.0000 0.0000 0.0000
```